First-principles (PBE) data for crystalline WBr2 at its relaxed geometry, as listed in OQMD.

Cell and atoms, written as POSCAR:
```
WBr2
1.0
7.4464 -5.9470 0.0000
7.4464 5.9470 0.0000
0.0000 0.0000 11.8858
W Br
12 24
direct
0.0666 0.9334 0.8573 W
0.1259 0.1259 0.0000 W
0.1426 0.8574 0.0665 W
0.3574 0.6426 0.5665 W
0.3741 0.3741 0.5000 W
0.4334 0.5666 0.3573 W
0.5666 0.4334 0.6427 W
0.6259 0.6259 0.5000 W
0.6426 0.3574 0.4335 W
0.8574 0.1426 0.9335 W
0.8741 0.8741 0.0000 W
0.9334 0.0666 0.1427 W
0.0482 0.2014 0.7901 Br
0.0841 0.6654 0.9232 Br
0.1470 0.8530 0.6468 Br
0.1654 0.5841 0.4232 Br
0.2014 0.0482 0.2099 Br
0.2015 0.2015 0.5000 Br
0.2985 0.2985 0.0000 Br
0.2986 0.4518 0.7099 Br
0.3346 0.9159 0.9232 Br
0.3530 0.6470 0.1468 Br
0.4159 0.8346 0.4232 Br
0.4518 0.2986 0.2901 Br
0.5482 0.7014 0.7099 Br
0.5841 0.1654 0.5768 Br
0.6470 0.3530 0.8532 Br
0.6654 0.0841 0.0768 Br
0.7014 0.5482 0.2901 Br
0.7015 0.7015 0.0000 Br
0.7985 0.7985 0.5000 Br
0.7986 0.9518 0.7901 Br
0.8346 0.4159 0.5768 Br
0.8530 0.1470 0.3532 Br
0.9159 0.3346 0.0768 Br
0.9518 0.7986 0.2099 Br
```

Computed properties:
Size of the total moment   0.00 μB/cell
Calculated volume   87.73 Å³/f.u.
Distance to the lowest polymorph of the same formula   0 meV/atom

=====

First-principles (PBE) data for crystalline Sb2Pd5 at its relaxed geometry, as listed in OQMD.

Cell and atoms, written as POSCAR:
```
Sb2Pd5
1.0
7.6859 0.0000 0.0000
-3.8429 6.6561 0.0000
0.0000 0.0000 14.0124
Sb Pd
12 30
direct
0.0000 0.0000 0.0000 Sb
0.0000 0.0000 0.5000 Sb
0.0000 0.3329 0.2749 Sb
0.0000 0.6671 0.7749 Sb
0.3329 0.0000 0.2749 Sb
0.3329 0.3329 0.7749 Sb
0.3333 0.6667 0.0509 Sb
0.3333 0.6667 0.5509 Sb
0.6671 0.0000 0.7749 Sb
0.6667 0.3333 0.0509 Sb
0.6667 0.3333 0.5509 Sb
0.6671 0.6671 0.2749 Sb
0.0000 0.0000 0.2038 Pd
0.0000 0.0000 0.7038 Pd
0.0000 0.2642 0.8726 Pd
0.0000 0.3081 0.0801 Pd
0.0000 0.3717 0.4707 Pd
0.0000 0.3720 0.6799 Pd
0.0000 0.6280 0.1799 Pd
0.0000 0.6283 0.9707 Pd
0.0000 0.6919 0.5801 Pd
0.0000 0.7358 0.3726 Pd
0.2642 0.0000 0.8726 Pd
0.2642 0.2642 0.3726 Pd
0.3081 0.0000 0.0801 Pd
0.3081 0.3081 0.5801 Pd
0.3333 0.6667 0.3470 Pd
0.3333 0.6667 0.8470 Pd
0.3717 0.0000 0.4707 Pd
0.3720 0.0000 0.6799 Pd
0.3720 0.3720 0.1799 Pd
0.3717 0.3717 0.9707 Pd
0.6280 0.0000 0.1799 Pd
0.6283 0.0000 0.9707 Pd
0.6283 0.6283 0.4707 Pd
0.6280 0.6280 0.6799 Pd
0.6667 0.3333 0.3470 Pd
0.6667 0.3333 0.8470 Pd
0.6919 0.0000 0.5801 Pd
0.6919 0.6919 0.0801 Pd
0.7358 0.0000 0.3726 Pd
0.7358 0.7358 0.8726 Pd
```

Computed properties:
Calculated volume   119.47 Å³/f.u.
Distance to the lowest polymorph of the same formula   0 meV/atom

=====

First-principles (PBE) data for crystalline Hf3Ni2Bi2 at its relaxed geometry, as listed in OQMD.

Cell and atoms, written as POSCAR:
```
Hf3Ni2Bi2
1.0
2.3685 1.3675 8.0841
-2.3685 1.3675 8.0841
0.0000 -2.7350 8.0841
Hf Ni Bi
3 2 2
direct
0.0000 0.0000 0.0000 Hf
0.2389 0.2389 0.2389 Hf
0.7382 0.7382 0.7382 Hf
0.3514 0.3514 0.3514 Ni
0.8927 0.8927 0.8927 Ni
0.1219 0.1219 0.1219 Bi
0.6105 0.6105 0.6105 Bi
```

Computed properties:
Size of the total moment   0.35 μB/cell
E   -6.93 eV/atom
Calculated volume   157.10 Å³/f.u.

=====

First-principles (PBE) data for crystalline Ta2Co at its relaxed geometry, as listed in OQMD.

Cell and atoms, written as POSCAR:
```
Ta2Co
1.0
5.2817 0.0000 0.0000
-2.6409 4.5741 0.0000
0.0000 0.0000 17.1554
Ta Co
16 8
direct
0.0000 0.5000 0.0000 Ta
0.0000 0.5000 0.5000 Ta
0.1634 0.3268 0.2500 Ta
0.1634 0.8366 0.2500 Ta
0.3268 0.1634 0.7500 Ta
0.3333 0.6667 0.1237 Ta
0.3333 0.6667 0.3763 Ta
0.5000 0.0000 0.0000 Ta
0.5000 0.0000 0.5000 Ta
0.5000 0.5000 0.0000 Ta
0.5000 0.5000 0.5000 Ta
0.6667 0.3333 0.6237 Ta
0.6667 0.3333 0.8763 Ta
0.6732 0.8366 0.2500 Ta
0.8366 0.1634 0.7500 Ta
0.8366 0.6732 0.7500 Ta
0.0000 0.0000 0.1054 Co
0.0000 0.0000 0.3946 Co
0.0000 0.0000 0.6054 Co
0.0000 0.0000 0.8946 Co
0.3333 0.6667 0.6563 Co
0.3333 0.6667 0.8437 Co
0.6667 0.3333 0.1563 Co
0.6667 0.3333 0.3437 Co
```

Computed properties:
Size of the total moment   0.22 μB/cell
Calculated volume   51.81 Å³/f.u.
DFT formation energy   773 meV/atom

=====

First-principles (PBE) data for crystalline GdIrNO at its relaxed geometry, as listed in OQMD.

Cell and atoms, written as POSCAR:
```
GdIrNO
1.0
6.7109 0.0000 0.0000
0.0000 6.6558 0.0000
0.0000 0.0000 4.9065
Gd Ir N O
4 4 4 4
direct
0.0822 0.1829 0.0000 Gd
0.4178 0.1829 0.5000 Gd
0.5822 0.8171 0.0000 Gd
0.9178 0.8171 0.5000 Gd
0.1648 0.6849 0.0189 Ir
0.3352 0.6849 0.5189 Ir
0.6648 0.3151 0.0189 Ir
0.8352 0.3151 0.5189 Ir
0.0684 0.1362 0.4832 N
0.4316 0.1362 0.9832 N
0.5684 0.8638 0.4832 N
0.9316 0.8638 0.9832 N
0.1169 0.4984 0.7035 O
0.3831 0.4984 0.2035 O
0.6169 0.5016 0.7035 O
0.8831 0.5016 0.2035 O
```

Computed properties:
Size of the total moment   2.19 μB/cell
Calculated volume   54.79 Å³/f.u.
Distance to the lowest polymorph of the same formula   634 meV/atom

=====

First-principles (PBE) data for crystalline LiGdFeS3 at its relaxed geometry, as listed in OQMD.

Cell and atoms, written as POSCAR:
```
LiGdFeS3
1.0
1.9267 -5.9799 0.0000
1.9267 5.9799 0.0000
0.0000 0.0000 10.5967
Li Gd Fe S
2 2 2 6
direct
0.2321 0.7679 0.7500 Li
0.7679 0.2321 0.2500 Li
0.0000 0.0000 0.0000 Gd
0.0000 0.0000 0.5000 Gd
0.4776 0.5224 0.2500 Fe
0.5224 0.4776 0.7500 Fe
0.0879 0.9121 0.2500 S
0.3559 0.6441 0.0854 S
0.3559 0.6441 0.4146 S
0.6441 0.3559 0.5854 S
0.6441 0.3559 0.9146 S
0.9121 0.0879 0.7500 S
```

Computed properties:
Size of the total moment   7.98 μB/cell
Calculated volume   122.09 Å³/f.u.
Distance to the lowest polymorph of the same formula   69 meV/atom

=====

First-principles (PBE) data for crystalline Ho4O5 at its relaxed geometry, as listed in OQMD.

Cell and atoms, written as POSCAR:
```
Ho4O5
1.0
3.9625 0.0000 0.0000
0.0000 3.9625 0.0000
0.0000 0.0000 8.8460
Ho O
4 5
direct
0.0000 0.0000 0.0000 Ho
0.0000 0.0000 0.5000 Ho
0.5000 0.5000 0.2438 Ho
0.5000 0.5000 0.7562 Ho
0.0000 0.5000 0.1491 O
0.0000 0.5000 0.8509 O
0.5000 0.0000 0.1491 O
0.5000 0.0000 0.8509 O
0.5000 0.5000 0.5000 O
```

Computed properties:
Size of the total moment   1.42 μB/cell
E   -7.66 eV/atom
Calculated volume   138.89 Å³/f.u.

=====

First-principles (PBE) data for crystalline ZnBi2Pb at its relaxed geometry, as listed in OQMD.

Cell and atoms, written as POSCAR:
```
ZnBi2Pb
1.0
0.0000 3.8739 3.8739
3.8739 0.0000 3.8739
3.8739 3.8739 0.0000
Zn Bi Pb
1 2 1
direct
0.0000 0.0000 0.0000 Zn
0.2500 0.2500 0.2500 Bi
0.5000 0.5000 0.5000 Bi
0.7500 0.7500 0.7500 Pb
```

Computed properties:
E   -3.11 eV/atom
Calculated volume   116.27 Å³/f.u.

=====

First-principles (PBE) data for crystalline YMgZnCo at its relaxed geometry, as listed in OQMD.

Cell and atoms, written as POSCAR:
```
YMgZnCo
1.0
0.0000 3.2998 3.2998
3.2998 0.0000 3.2998
3.2998 3.2998 0.0000
Y Mg Zn Co
1 1 1 1
direct
0.0000 0.0000 0.0000 Y
0.2500 0.2500 0.2500 Mg
0.5000 0.5000 0.5000 Zn
0.7500 0.7500 0.7500 Co
```

Computed properties:
Size of the total moment   0.84 μB/cell
Calculated volume   71.86 Å³/f.u.
Distance to the lowest polymorph of the same formula   0 meV/atom

=====

First-principles (PBE) data for crystalline PrIn4Ni at its relaxed geometry, as listed in OQMD.

Cell and atoms, written as POSCAR:
```
PrIn4Ni
1.0
2.2489 -8.4785 0.0000
2.2489 8.4785 0.0000
0.0000 0.0000 7.2883
Pr In Ni
2 8 2
direct
0.1176 0.8824 0.7500 Pr
0.8824 0.1176 0.2500 Pr
0.0753 0.9247 0.2500 In
0.3113 0.6887 0.5478 In
0.3113 0.6887 0.9522 In
0.5000 0.5000 0.0000 In
0.5000 0.5000 0.5000 In
0.6887 0.3113 0.0478 In
0.6887 0.3113 0.4522 In
0.9247 0.0753 0.7500 In
0.2266 0.7734 0.2500 Ni
0.7734 0.2266 0.7500 Ni
```

Computed properties:
Size of the total moment   0.00 μB/cell
E   -3.92 eV/atom
Calculated volume   138.97 Å³/f.u.

=====

First-principles (PBE) data for crystalline GdDyNO at its relaxed geometry, as listed in OQMD.

Cell and atoms, written as POSCAR:
```
GdDyNO
1.0
4.9141 0.0000 0.0000
0.0000 3.9832 0.0000
0.0000 0.0000 6.9157
Gd Dy N O
2 2 2 2
direct
0.2500 0.0000 0.1664 Gd
0.7500 0.0000 0.8336 Gd
0.2500 0.5000 0.6669 Dy
0.7500 0.5000 0.3331 Dy
0.2500 0.0000 0.8323 N
0.7500 0.0000 0.1677 N
0.2500 0.5000 0.3331 O
0.7500 0.5000 0.6669 O
```

Computed properties:
Size of the total moment   0.02 μB/cell
Calculated volume   67.68 Å³/f.u.
Distance to the lowest polymorph of the same formula   16 meV/atom

=====

First-principles (PBE) data for crystalline HoAgSnTe2Se at its relaxed geometry, as listed in OQMD.

Cell and atoms, written as POSCAR:
```
HoAgSnTe2Se
1.0
2.1435 -7.2899 0.0000
2.1435 7.2899 0.0000
0.0000 0.0000 10.5322
Ho Ag Sn Te Se
2 2 2 4 2
direct
0.0000 0.0000 0.0000 Ho
0.0000 0.0000 0.5000 Ho
0.4774 0.5226 0.7500 Ag
0.5226 0.4774 0.2500 Ag
0.2556 0.7444 0.2500 Sn
0.7444 0.2556 0.7500 Sn
0.3499 0.6501 0.5531 Te
0.3499 0.6501 0.9469 Te
0.6501 0.3499 0.0531 Te
0.6501 0.3499 0.4469 Te
0.0875 0.9125 0.7500 Se
0.9125 0.0875 0.2500 Se
```

Computed properties:
Size of the total moment   0.01 μB/cell
E   -4.26 eV/atom
Calculated volume   164.57 Å³/f.u.